No. 1
! PBE-GGA Pm4SbSe3, relaxed; values from VASP
! - symmetry = No. 47
&SYSTEM
  ibrav = 0, nat = 8, ntyp = 3
/
ATOMIC_SPECIES
Pm 145.00 Pm.upf
Sb 121.76 Sb.upf
Se 78.96 Se.upf
CELL_PARAMETERS angstrom
4.2797 0.0000 0.0000
0.0000 6.0465 0.0000
0.0000 0.0000 8.5593
ATOMIC_POSITIONS crystal
Pm 0.0000 0.0000 0.0000
Pm 0.0000 0.0000 0.5000
Pm 0.5000 0.5000 0.2402
Pm 0.5000 0.5000 0.7598
Sb 0.0000 0.5000 0.5000
Se 0.0000 0.5000 0.0000
Se 0.5000 0.0000 0.2481
Se 0.5000 0.0000 0.7519

No. 2
! PBE-GGA PmSbSe3, relaxed; values from VASP
! - symmetry = No. 62
&SYSTEM
  ibrav = 0, nat = 20, ntyp = 3
/
ATOMIC_SPECIES
Pm 145.00 Pm.upf
Sb 121.76 Sb.upf
Se 78.96 Se.upf
CELL_PARAMETERS angstrom
11.1231 0.0000 0.0000
0.0000 4.1689 0.0000
0.0000 0.0000 13.2349
ATOMIC_POSITIONS crystal
Pm 0.0036 0.2500 0.1412
Pm 0.4964 0.7500 0.6412
Pm 0.5036 0.2500 0.3588
Pm 0.9964 0.7500 0.8588
Sb 0.1797 0.2500 0.5585
Sb 0.3203 0.7500 0.0585
Sb 0.6797 0.2500 0.9415
Sb 0.8203 0.7500 0.4415
Se 0.0402 0.7500 0.6311
Se 0.1467 0.2500 0.9546
Se 0.1695 0.7500 0.2117
Se 0.3305 0.2500 0.7117
Se 0.3533 0.7500 0.4546
Se 0.4598 0.2500 0.1311
Se 0.5402 0.7500 0.8689
Se 0.6467 0.2500 0.5454
Se 0.6695 0.7500 0.2883
Se 0.8305 0.2500 0.7883
Se 0.8533 0.7500 0.0454
Se 0.9598 0.2500 0.3689

No. 3
! PBE-GGA Pm2SbSe, relaxed; values from VASP
! - symmetry = No. 123
&SYSTEM
  ibrav = 0, nat = 4, ntyp = 3
/
ATOMIC_SPECIES
Pm 145.00 Pm.upf
Sb 121.76 Sb.upf
Se 78.96 Se.upf
CELL_PARAMETERS angstrom
5.4053 0.0000 0.0000
0.0000 5.4053 0.0000
0.0000 0.0000 3.6669
ATOMIC_POSITIONS crystal
Pm 0.0000 0.5000 0.0000
Pm 0.5000 0.0000 0.0000
Sb 0.0000 0.0000 0.5000
Se 0.5000 0.5000 0.5000

No. 4
! PBE-GGA Pm3SbSe3, relaxed; values from VASP
! - symmetry = No. 148
&SYSTEM
  ibrav = 0, nat = 14, ntyp = 3
/
ATOMIC_SPECIES
Pm 145.00 Pm.upf
Sb 121.76 Sb.upf
Se 78.96 Se.upf
CELL_PARAMETERS angstrom
4.2489 2.4531 7.1192
-4.2489 2.4531 7.1192
0.0000 -4.9063 7.1192
ATOMIC_POSITIONS crystal
Pm 0.0213 0.4246 0.7893
Pm 0.2107 0.9787 0.5754
Pm 0.4246 0.7893 0.0213
Pm 0.5754 0.2107 0.9787
Pm 0.7893 0.0213 0.4246
Pm 0.9787 0.5754 0.2107
Sb 0.1655 0.1655 0.1655
Sb 0.8345 0.8345 0.8345
Se 0.1267 0.6708 0.3758
Se 0.3292 0.6242 0.8733
Se 0.3758 0.1267 0.6708
Se 0.6242 0.8733 0.3292
Se 0.6708 0.3758 0.1267
Se 0.8733 0.3292 0.6242

Number 1: formation energy without anion corrections -1.667 eV per atom. Number 2: formation energy without anion corrections -1.029 eV per atom. Number 3: formation energy without anion corrections -1.223 eV per atom. Number 4: formation energy without anion corrections -1.572 eV per atom.